(1)
## CsCeTcO6 (PBE-GGA)

Data for a geometry-optimized CsCeTcO6 structure. Values from VASP.

## Properties
- Density: 4.24 Mg/m³
- SG: No. 149
- Final energy: -0.2664 hartree per atom
- Crystal system: trigonal
- Energy relative to the elements, uncorrected: -2.038 eV/atom

```
&SYSTEM
  ibrav = 0, nat = 9, ntyp = 4
/
ATOMIC_SPECIES
Cs 132.91 Cs.upf
Ce 140.12 Ce.upf
Tc 98.00 Tc.upf
O 16.00 O.upf
CELL_PARAMETERS angstrom
5.667 0.000 0.000
-2.834 4.908 0.000
0.000 0.000 6.570
ATOMIC_POSITIONS angstrom
Cs 0.000 0.000 0.000
Ce 0.000 3.272 3.285
Tc 2.834 1.636 3.285
O 2.211 0.209 4.386
O 1.287 1.810 2.184
O 3.456 0.209 2.184
O 1.909 2.888 4.386
O 4.380 1.810 4.386
O 3.758 2.888 2.184
```

=====

(2)
## LaEuPd2 (PBE-GGA)

Data for a geometry-optimized LaEuPd2 structure. Values from VASP.

## Properties
- Formation enthalpy at 0 K: -658 meV per atom
- Density: 7.60 Mg/m³
- SG: No. 166
- Final energy: -0.2593 hartree per atom
- Crystal system: trigonal

```
&SYSTEM
  ibrav = 0, nat = 12, ntyp = 3
/
ATOMIC_SPECIES
La 138.91 La.upf
Eu 151.96 Eu.upf
Pd 106.42 Pd.upf
CELL_PARAMETERS angstrom
4.252 0.000 0.000
-2.126 3.682 0.000
0.000 0.000 21.082
ATOMIC_POSITIONS angstrom
La 0.000 0.000 0.000
La 0.000 2.455 14.055
La 2.126 1.227 7.027
Eu 0.000 0.000 10.541
Eu 0.000 2.455 3.514
Eu 2.126 1.227 17.569
Pd 0.000 0.000 5.335
Pd 0.000 0.000 15.747
Pd 0.000 2.455 8.720
Pd 0.000 2.455 19.390
Pd 2.126 1.227 1.692
Pd 2.126 1.227 12.363
```

=====

(3)
## Pb3IO6 (PBE-GGA)

Data for a geometry-optimized Pb3IO6 structure. Values from VASP.

## Properties
- Density: 8.51 Mg/m³
- SG: No. 14
- Final energy: -0.1841 hartree per atom
- Crystal system: monoclinic
- Energy relative to the elements, uncorrected: -0.767 eV/atom

```
&SYSTEM
  ibrav = 0, nat = 20, ntyp = 3
/
ATOMIC_SPECIES
Pb 207.20 Pb.upf
I 126.90 I.upf
O 16.00 O.upf
CELL_PARAMETERS angstrom
5.852 0.000 0.000
0.000 6.469 0.000
-5.706 0.000 8.710
ATOMIC_POSITIONS angstrom
Pb 0.000 0.000 0.000
Pb -2.853 3.234 4.355
Pb -2.867 0.306 6.374
Pb -0.014 2.929 2.019
Pb 0.160 3.540 6.692
Pb 3.013 6.163 2.336
I 0.073 0.000 4.355
I 2.926 3.234 0.000
O -1.670 1.049 4.134
O -4.523 2.185 8.489
O -0.928 4.810 3.773
O -3.781 4.893 8.129
O 0.611 0.381 2.418
O -2.241 2.854 6.773
O 2.388 3.615 1.938
O -0.465 6.088 6.293
O 3.927 1.576 0.582
O 1.074 1.658 4.937
O 4.669 4.284 0.221
O 1.816 5.419 4.577
```